Entry from Alexandria: a crystal of Ba3Fe2BrO5 relaxed with PBEsol (SCAN).

Properties
electronic total energy = -20.958 eV/atom
formation energy without anion corrections = -2.27 eV per atom
crystal system = tetragonal
space-group type = P4/mmm

abc: 3.977 3.977 12.080
angles: 90.00 90.00 90.00
Fractional coordinates of all 11 atoms:
1 Ba 0.000 0.000 0.000
2 Ba 0.000 0.000 0.684
3 Ba 0.000 0.000 0.316
4 Fe 0.500 0.500 0.840
5 Fe 0.500 0.500 0.160
6 Br 0.500 0.500 0.500
7 O 0.500 0.000 0.818
8 O 0.000 0.500 0.818
9 O 0.500 0.000 0.182
10 O 0.000 0.500 0.182
11 O 0.500 0.500 0.000

---

Entry from Alexandria: a crystal of NaYFeMo2 relaxed with PBEsol (SCAN).

Properties
electronic total energy = -22.129 eV/atom
crystal system = tetragonal
formation energy = 1862.6 meV/atom
space-group type = P4/mmm

abc: 4.326 4.720 4.720
angles: 90.00 90.00 90.00
Fractional coordinates of all 5 atoms:
1 Y 0.500 0.500 0.500
2 Na 0.000 0.000 0.000
3 Mo 0.000 0.000 0.500
4 Mo 0.000 0.500 0.000
5 Fe 0.500 0.000 0.000

---

Which value of electronic total energy does entry 2 give?
-22.129 eV/atom

---

Number 1 is which compound?
Ba3Fe2BrO5

---

Which formula does entry 2 have?
NaYFeMo2